Density functional theory data (meta-GGA SCAN) for a PBEsol-optimized structure of NiAsPd2Pt.

Formation energy (eV/atom): 0.72
Calculated density (g/cm3): 10.62
DOS at the Fermi energy (states/eV/f.u.): 4.2

```
5
Lattice="4.529 0.000 0.000 0.000 4.529 0.000 0.000 0.000 4.130" Properties=species:S:1:pos:R:3 pbc="T T T"
Ni 0.000 0.000 0.000
As 0.000 0.000 2.065
Pd 0.000 2.264 0.000
Pd 2.264 0.000 0.000
Pt 2.264 2.264 2.065
```

Density functional theory data (meta-GGA SCAN) for a PBEsol-optimized structure of CaIn2Ni.

Formation energy (eV/atom): -0.45
Calculated density (g/cm3): 6.59
DOS at the Fermi energy (states/eV/f.u.): 1.9

```
8
Lattice="2.136 -5.162 0.000 2.136 5.162 0.000 0.000 0.000 7.509" Properties=species:S:1:pos:R:3 pbc="T T T"
Ca 2.136 4.532 5.632
Ca 2.136 -4.532 1.877
In 2.136 1.545 4.150
In 2.136 1.545 7.113
In 2.136 -1.545 0.396
In 2.136 -1.545 3.359
Ni 2.136 2.907 1.877
Ni 2.136 -2.907 5.632
```

Density functional theory data (meta-GGA SCAN) for a PBEsol-optimized structure of CdH8C4S4N6.

Raw total energy (eV per formula unit): -196.88
Calculated density (g/cm3): 2.14
DOS at the Fermi energy (states/eV/f.u.): 0.0

```
23
Lattice="3.946 0.000 0.000 -1.882 7.580 0.000 -1.589 -0.541 9.877" Properties=species:S:1:pos:R:3 pbc="T T T"
Cd 0.000 0.000 0.000
H -0.805 6.687 2.728
H -0.564 3.426 6.880
H -0.811 3.548 8.614
H -0.078 5.513 3.860
H 0.553 1.526 6.018
H 1.286 3.492 1.263
H 1.039 3.614 2.997
H 1.280 0.353 7.150
C -0.466 1.208 3.074
C 0.249 5.152 1.876
C 0.226 1.887 8.002
C 0.941 5.832 6.803
S -1.065 2.142 4.244
S 0.061 5.721 0.243
S 0.414 1.319 9.634
S 1.540 4.897 5.633
N -0.006 0.513 2.222
N -0.457 3.009 7.812
N -0.265 5.818 2.894
N 0.740 1.222 6.983
N 0.932 4.031 2.066
N 0.481 6.527 7.656
```

Density functional theory data (meta-GGA SCAN) for a PBEsol-optimized structure of MgSe2N2.

Energy relative to the elements, uncorrected (eV/atom): 1.1807
Calculated density (g/cm3): 5.02
DOS at the Fermi energy (states/eV/f.u.): 2.2

```
5
Lattice="4.193 0.000 0.000 0.000 4.193 0.000 0.000 0.000 3.960" Properties=species:S:1:pos:R:3 pbc="T T T"
Mg 0.000 0.000 0.000
Se 0.000 2.096 1.980
Se 2.096 0.000 1.980
N 2.096 2.096 0.000
N 2.096 2.096 1.980
```

Density functional theory data (meta-GGA SCAN) for a PBEsol-optimized structure of TeAuI2.

Energy relative to the elements, uncorrected (eV/atom): 0.6853
Calculated density (g/cm3): 9.03
DOS at the Fermi energy (states/eV/f.u.): 3.1

```
4
Lattice="0.000 3.760 3.760 3.760 0.000 3.760 3.760 3.760 0.000" Properties=species:S:1:pos:R:3 pbc="T T T"
Te 0.000 0.000 0.000
Au 3.760 3.760 3.760
I 1.880 1.880 1.880
I 5.640 5.640 5.640
```

Density functional theory data (meta-GGA SCAN) for a PBEsol-optimized structure of Tl2ReHg.

Formation energy (eV/atom): 1.21
Calculated density (g/cm3): 15.27
DOS at the Fermi energy (states/eV/f.u.): 2.9

```
4
Lattice="0.000 3.510 3.510 3.510 0.000 3.510 3.510 3.510 0.000" Properties=species:S:1:pos:R:3 pbc="T T T"
Tl 0.000 0.000 0.000
Tl 1.755 1.755 1.755
Re 5.266 5.266 5.266
Hg 3.510 3.510 3.510
```

Density functional theory data (meta-GGA SCAN) for a PBEsol-optimized structure of Mg2CoSe.

Energy relative to the elements, uncorrected (eV/atom): -0.0144
Calculated density (g/cm3): 4.56
DOS at the Fermi energy (states/eV/f.u.): 1.6

```
4
Lattice="0.000 3.239 3.239 3.239 0.000 3.239 3.239 3.239 0.000" Properties=species:S:1:pos:R:3 pbc="T T T"
Mg 1.620 1.620 1.620
Mg 4.859 4.859 4.859
Co 0.000 0.000 0.000
Se 3.239 3.239 3.239
```

Density functional theory data (meta-GGA SCAN) for a PBEsol-optimized structure of CaCd3Ni.

Formation energy (eV/atom): -0.09
Calculated density (g/cm3): 6.21
DOS at the Fermi energy (states/eV/f.u.): 2.4

```
5
Lattice="4.885 0.000 0.000 0.000 4.885 0.000 0.000 0.000 4.885" Properties=species:S:1:pos:R:3 pbc="T T T"
Ca 0.000 0.000 0.000
Cd 0.000 2.443 2.443
Cd 2.443 0.000 2.443
Cd 2.443 2.443 0.000
Ni 2.443 2.443 2.443
```

Density functional theory data (meta-GGA SCAN) for a PBEsol-optimized structure of TaSbPOs2.

Energy relative to the elements, uncorrected (eV/atom): 1.6469
Calculated density (g/cm3): 11.20
DOS at the Fermi energy (states/eV/f.u.): 3.7

```
5
Lattice="4.795 0.000 0.000 0.000 4.795 0.000 0.000 0.000 4.606" Properties=species:S:1:pos:R:3 pbc="T T T"
Ta 0.000 0.000 0.000
Sb 2.397 2.397 2.303
P 0.000 0.000 2.303
Os 0.000 2.397 0.000
Os 2.397 0.000 0.000
```

Density functional theory data (meta-GGA SCAN) for a PBEsol-optimized structure of MgZrTl2.

Formation energy (eV/atom): -0.06
Calculated density (g/cm3): 9.81
DOS at the Fermi energy (states/eV/f.u.): 3.3

```
4
Lattice="-2.221 2.221 4.500 2.221 -2.221 4.500 2.221 2.221 -4.500" Properties=species:S:1:pos:R:3 pbc="T T T"
Mg 0.000 0.000 0.000
Zr 0.000 0.000 4.500
Tl 2.221 0.000 2.250
Tl 0.000 2.221 2.250
```

Density functional theory data (meta-GGA SCAN) for a PBEsol-optimized structure of RbOs3S.

Energy relative to the elements, uncorrected (eV/atom): 1.6830
Calculated density (g/cm3): 12.80
DOS at the Fermi energy (states/eV/f.u.): 5.8

```
5
Lattice="4.470 0.000 0.000 0.000 4.470 0.000 0.000 0.000 4.470" Properties=species:S:1:pos:R:3 pbc="T T T"
Rb 0.000 0.000 0.000
Os 0.000 2.235 2.235
Os 2.235 0.000 2.235
Os 2.235 2.235 0.000
S 2.235 2.235 2.235
```

Density functional theory data (meta-GGA SCAN) for a PBEsol-optimized structure of Sr2AlOF.

Energy relative to the elements, uncorrected (eV/atom): -0.7326
Calculated density (g/cm3): 2.98
DOS at the Fermi energy (states/eV/f.u.): 1.5

```
5
Lattice="5.791 0.000 0.000 0.000 5.791 0.000 0.000 0.000 3.948" Properties=species:S:1:pos:R:3 pbc="T T T"
Sr 0.000 2.896 0.000
Sr 2.896 0.000 0.000
Al 0.000 0.000 0.000
O 2.896 2.896 1.974
F 0.000 0.000 1.974
```

no.,total magnetization (μB per formula unit)
1,0.00
2,0.00
3,0.00
4,0.00
5,0.00
6,2.15
7,1.85
8,0.00
9,0.00
10,0.01
11,0.01
12,0.00